[1]
VASP calculation (PBE) on a relaxed CeHo7Tm2 crystal.

abc: 5.4738 9.2261 9.2261
angles: 123.81 90.00 90.00
Closest atoms and distances in Å follow each position.
Positions (direct):
Ce: 0.0000 0.0000 0.0000  10 Ho 3.40-3.64
Ho: 0.0000 0.7914 0.2086  2 Tm 3.09, 1 Ce 3.40
Ho: 0.0000 0.2086 0.7914  2 Tm 3.09, 1 Ce 3.40
Ho: 0.5000 0.0636 0.2901  2 Ho 3.07-3.36, 2 Tm 3.17-3.36
Ho: 0.5000 0.9364 0.7099  2 Ho 3.07-3.36, 2 Tm 3.17-3.36
Ho: 0.5000 0.2901 0.0636  2 Ho 3.07-3.36, 2 Tm 3.17-3.36
Ho: 0.5000 0.7099 0.9364  2 Ho 3.07-3.36, 2 Tm 3.17-3.36
Ho: 0.5000 0.5000 0.5000  2 Tm 3.31, 4 Ho 3.36
Tm: 0.5000 0.7034 0.2966  7 Ho 3.09-3.36
Tm: 0.5000 0.2966 0.7034  7 Ho 3.09-3.36

Values from the calculation:
Final energy in eV per atom: -3.9568

***

[2]
VASP calculation (PBE) on a relaxed Li2CdPb crystal.

abc: 5.4418 5.4418 4.8373
angles: 73.04 73.04 38.21
Closest atoms and distances in Å follow each position.
Positions (direct):
Pb: 0.4972 0.4972 0.5341  7 Li 3.00-3.03, 3 Cd 3.21-3.31
Li: 0.9968 0.9968 0.0328  3 Cd 2.93-3.06, 4 Pb 3.00-3.01, 2 Li 3.10
Li: 0.7470 0.7470 0.7293  4 Cd 2.94-3.07, 3 Pb 3.00-3.03, 2 Li 3.10
Cd: 0.2591 0.2591 0.2039  7 Li 2.93-3.07, 2 Pb 3.21

Values from the calculation:
Final energy in eV per atom: -2.3446

***

[3]
VASP calculation (PBE) on a relaxed Nb3CrTe6 crystal.

abc: 6.5910 8.9396 8.9396
angles: 101.21 90.00 90.00
Closest atoms and distances in Å follow each position.
Positions (direct):
Nb: 0.3946 0.0058 0.7338  1 Cr 2.66, 5 Te 2.76-2.97, 1 Nb 2.95
Nb: 0.8946 0.7338 0.0058  1 Cr 2.66, 5 Te 2.76-2.97, 1 Nb 2.95
Nb: 0.4037 0.3971 0.6029  7 Te 2.84-2.94, 1 Cr 3.10
Nb: 0.9037 0.6029 0.3971  7 Te 2.84-2.94, 1 Cr 3.10
Nb: 0.8946 0.9942 0.2662  1 Cr 2.66, 5 Te 2.76-2.97, 1 Nb 2.95
Nb: 0.3946 0.2662 0.9942  1 Cr 2.66, 5 Te 2.76-2.97, 1 Nb 2.95
Cr: 0.1117 0.2214 0.7786  4 Te 2.57-2.78, 2 Nb 2.66
Cr: 0.6117 0.7786 0.2214  4 Te 2.57-2.78, 2 Nb 2.66
Te: 0.2428 0.7025 0.6070  3 Nb 2.91-2.94
Te: 0.7428 0.6070 0.7025  3 Nb 2.91-2.94
Te: 0.2055 0.5004 0.8869  1 Cr 2.57, 2 Nb 2.76-2.84
Te: 0.7055 0.8869 0.5004  1 Cr 2.57, 2 Nb 2.76-2.84
Te: 0.0932 0.0351 0.9649  1 Cr 2.58, 2 Nb 2.84
Te: 0.6910 0.2354 0.7646  1 Cr 2.78, 3 Nb 2.81-2.93
Te: 0.1910 0.7646 0.2354  1 Cr 2.78, 3 Nb 2.81-2.93
Te: 0.5932 0.9649 0.0351  1 Cr 2.58, 2 Nb 2.84
Te: 0.2055 0.1131 0.4996  1 Cr 2.57, 2 Nb 2.76-2.84
Te: 0.7055 0.4996 0.1131  1 Cr 2.57, 2 Nb 2.76-2.84
Te: 0.2428 0.3930 0.2975  3 Nb 2.91-2.94
Te: 0.7428 0.2975 0.3930  3 Nb 2.91-2.94

Values from the calculation:
ΔE_f (raw) in eV per atom: -0.12

***

| no. | magnetic moment (μB per formula unit) | volume (A^3/atom) |
| --- | --- | --- |
| 1 | 1.4 | 38.7 |
| 2 | 0.0 | 21.1 |
| 3 | 1.6 | 25.8 |